Density functional theory data (PBE) for an optimized crystal structure of SmUTc2.

Properties
As for the symmetry: Cmmm (65). The value obtained for the energy of formation from the pure elements is 0.379 eV per atom. The value obtained for the total moment is 0.000 μB/f.u. For the distance to the lowest polymorph of the same formula, the calculation gives 463.1 meV/atom.

Lattice parameters (Å, degrees): 6.0631 9.0456 3.1860 90.00 90.00 90.00
Fractional coordinates of all 8 atoms:
1 Sm 0.0000 0.0000 0.0000
2 Sm 0.5000 0.5000 0.0000
3 U 0.0000 0.5000 0.0000
4 U 0.5000 0.0000 0.0000
5 Tc 0.0000 0.2976 0.5000
6 Tc 0.0000 0.7024 0.5000
7 Tc 0.5000 0.2024 0.5000
8 Tc 0.5000 0.7976 0.5000